Entry from Alexandria: a relaxed ErAl2Os crystal (PBE-GGA).

```
ErAl2Os
1.0
4.2440 0.0000 0.0000
2.1220 3.6754 0.0000
2.1220 1.2251 4.9088
Os Al Er
1 2 1
Cartesian
4.2440 2.4503 2.4544
6.3661 3.6754 3.0822
2.1220 1.2251 1.8267
0.0000 0.0000 0.0000
```

Calculated values
D(E_F): 1.64 states/eV/f.u.
total DFT energy (no corrections): -6.232 eV per atom
calculated formation energy: -413 meV/atom

Entry from Alexandria: a relaxed ErAl11Os crystal (PBE-GGA).

```
ErAl11Os
1.0
4.8281 -0.0192 2.0115
2.3425 6.6107 0.9759
-0.0216 -0.0096 6.8521
Er Al Os
1 11 1
Cartesian
0.0000 0.0000 0.0000
1.8948 1.4555 2.2629
5.2542 5.1265 7.5766
4.2297 5.1361 3.2357
2.9193 1.4459 6.6039
3.2281 4.2275 5.8349
3.9208 2.3545 4.0046
5.5827 2.3449 6.8159
1.5663 4.2371 3.0237
1.1713 3.3054 0.4880
2.4032 -0.0144 4.4318
-0.0108 -0.0048 3.4261
3.5853 3.2958 1.4937
```

Calculated values
D(E_F): 6.32 states/eV/f.u.
total DFT energy (no corrections): -4.598 eV per atom
calculated formation energy: -217 meV/atom

Entry from Alexandria: a relaxed ErAlOs crystal (PBE-GGA).

```
ErAlOs
1.0
-2.2948 2.3549 0.0925
-2.3564 -2.2950 -0.0296
2.3935 -0.1660 5.1171
Os Al Er
1 1 1
Cartesian
-2.3067 -0.0078 1.4619
0.0339 -0.0680 2.5729
-2.2629 -0.0955 4.7808
```

Calculated values
D(E_F): 0.53 states/eV/f.u.
total DFT energy (no corrections): -6.883 eV per atom
calculated formation energy: -371 meV/atom

Entry from Alexandria: a relaxed Er4Al16Os3 crystal (PBE-GGA).

```
Er4Al16Os3
1.0
-4.0594 1.2763 4.4041
-4.5113 -0.0590 -4.1411
-1.5097 -11.0190 1.8017
Er Al Os
4 16 3
Cartesian
-3.2522 -8.2842 3.6609
-2.5429 -2.1261 -1.7277
-3.4781 -8.9519 -0.6117
-2.3170 -1.4585 2.5449
-1.1808 -8.6181 1.4091
-2.4254 0.3445 0.0744
-5.5015 -8.2677 1.5829
-4.1873 0.8984 1.9859
-4.5789 -1.5340 0.4818
-6.1453 0.8728 0.1886
-0.3290 -2.4009 0.3926
-7.3719 -5.8982 1.3115
-4.7481 -3.2622 2.9660
-3.0656 -6.5099 1.1793
-4.9752 -3.9331 -1.3275
-4.3834 0.3189 -1.7229
-7.0148 -3.2918 0.8854
-5.1052 -5.8686 3.3922
-2.7085 -3.9035 0.7532
-5.3323 -6.5395 -0.9013
-3.0105 -5.5390 -1.1697
0.0000 0.0000 0.0000
-2.7846 -4.8714 3.1029
```

Calculated values
D(E_F): 10.49 states/eV/f.u.
total DFT energy (no corrections): -5.334 eV per atom
calculated formation energy: -472 meV/atom

Entry from Alexandria: a relaxed Er2AlOs crystal (PBE-GGA).

```
Er2AlOs
1.0
3.4656 0.0000 0.0000
0.0000 3.4656 0.0000
0.0000 0.0000 7.0168
Os Al Er
1 1 2
Cartesian
1.7328 1.7328 0.0000
1.7328 1.7328 3.5084
0.0000 0.0000 5.4033
0.0000 0.0000 1.6135
```

Calculated values
D(E_F): 1.56 states/eV/f.u.
total DFT energy (no corrections): -6.386 eV per atom
calculated formation energy: -361 meV/atom

Entry from Alexandria: a relaxed ErAl6Os crystal (PBE-GGA).

```
ErAl6Os
1.0
5.7948 0.0000 0.0000
2.8974 5.0185 0.0000
2.8974 1.6728 6.0221
Er Al Os
1 6 1
Cartesian
5.7948 3.3456 3.0111
10.0692 5.8134 4.3553
7.3153 5.8134 4.3553
2.8974 3.2628 1.6668
4.2744 0.8778 1.6668
1.5204 0.8778 1.6668
8.6922 3.4285 4.3553
0.0000 0.0000 0.0000
```

Calculated values
D(E_F): 3.02 states/eV/f.u.
total DFT energy (no corrections): -4.730 eV per atom
calculated formation energy: 51 meV/atom